Compound: Cs2HgSbCl6
Source: the Alexandria database
Functional: GGA-PBEsol
Structure: optimized geometry

Geometry as POSCAR:
```
Cs2HgSbCl6
1.0
0.000 5.424 5.424
5.424 0.000 5.424
5.424 5.424 0.000
Cs Hg Sb Cl
2 1 1 6
direct
0.250 0.250 0.250
0.750 0.750 0.750
0.000 0.000 0.000
0.500 0.500 0.500
0.259 0.259 0.741
0.259 0.741 0.259
0.259 0.741 0.741
0.741 0.259 0.259
0.741 0.259 0.741
0.741 0.741 0.259
```

## Properties
total DFT energy (no corrections): -31.5 eV per cell
formation energy (no corrections): -1.242 eV/atom
DOS at the Fermi energy: 2.41 states/eV/cell